# Y2MgGa2 (PBE, relaxed)
# Final energy = -41.92 eV for the cell shown
# Magnetization = 0.94 μB/f.u.
# Energy of formation = -0.076 eV per atom
data_Y2MgGa2
_chemical_formula_sum 'Y4 Mg2 Ga4'
_symmetry_space_group_name_H-M 'I 4/m m m'
_symmetry_Int_Tables_number 139
_symmetry_space_group_name_Hall '-I 4 2'
_cell_length_a 4.6851
_cell_length_b 4.6851
_cell_length_c 12.1725
_cell_angle_alpha 90.00
_cell_angle_beta 90.00
_cell_angle_gamma 90.00
loop_
_atom_site_label
_atom_site_type_symbol
_atom_site_fract_x
_atom_site_fract_y
_atom_site_fract_z
Y1 Y 0.0000 0.5000 0.2500
Mg1 Mg 0.0000 0.0000 0.0000
Ga1 Ga 0.0000 0.0000 0.4026